(1)
Below is CaTeI2O after structural relaxation, with properties calculated at the GGA-PBE level.

Computed properties:
energy relative to the elements, uncorrected	-0.4236	eV/atom
E	-15.3	eV/f.u.
ρ	5.4	g/cm3
excess energy over the best structure of this formula in the dataset	0.634	eV per formula unit

Unit cell a=5.280 b=5.280 c=4.802 alpha=90.00 beta=90.00 gamma=90.00
Positions (direct):
Ca  0.000  0.000  0.000
Te  0.500  0.500  0.000
I  0.000  0.500  0.500
I  0.500  0.000  0.500
O  0.500  0.500  0.500

***

(2)
Below is CaTeI2O after structural relaxation, with properties calculated at the GGA-PBE level.

Computed properties:
energy relative to the elements, uncorrected	-0.5503	eV/atom
E	-16.0	eV/f.u.
ρ	4.5	g/cm3
excess energy over the best structure of this formula in the dataset	0.000	eV per formula unit

Unit cell a=6.274 b=6.274 c=4.139 alpha=90.00 beta=90.00 gamma=90.00
Positions (direct):
Ca  0.000  0.000  0.000
Te  0.500  0.500  0.500
I  0.000  0.500  0.500
I  0.500  0.000  0.500
O  0.500  0.500  0.000

***

(3)
Below is Ca2TeIO after structural relaxation, with properties calculated at the GGA-PBE level.

Computed properties:
energy relative to the elements, uncorrected	0.2792	eV/atom
E	-12.3	eV/f.u.
ρ	2.9	g/cm3

Unit cell a=5.935 b=5.935 c=5.764 alpha=90.00 beta=90.00 gamma=90.00
Positions (direct):
Ca  0.000  0.500  0.000
Ca  0.500  0.000  0.000
Te  0.000  0.000  0.500
I  0.000  0.000  0.000
O  0.500  0.500  0.500

***

(4)
Below is CaTeI2O after structural relaxation, with properties calculated at the GGA-PBE level.

Computed properties:
energy relative to the elements, uncorrected	0.1448	eV/atom
E	-12.5	eV/f.u.
ρ	3.2	g/cm3
excess energy over the best structure of this formula in the dataset	3.475	eV per formula unit

Unit cell a=6.080 b=6.080 c=6.103 alpha=90.00 beta=90.00 gamma=90.00
Positions (direct):
Ca  0.000  0.000  0.000
Te  0.000  0.000  0.500
I  0.000  0.500  0.000
I  0.500  0.000  0.000
O  0.500  0.500  0.500

***

(5)
Below is CaTeIO2 after structural relaxation, with properties calculated at the GGA-PBE level.

Computed properties:
energy relative to the elements, uncorrected	-0.4229	eV/atom
E	-18.7	eV/f.u.
ρ	4.0	g/cm3
excess energy over the best structure of this formula in the dataset	1.545	eV per formula unit

Unit cell a=4.520 b=4.520 c=6.557 alpha=90.00 beta=90.00 gamma=90.00
Positions (direct):
Ca  0.000  0.000  0.000
Te  0.500  0.500  0.500
I  0.000  0.000  0.500
O  0.000  0.500  0.000
O  0.500  0.000  0.000

***

(6)
Below is CaTeI2O after structural relaxation, with properties calculated at the GGA-PBE level.

Computed properties:
energy relative to the elements, uncorrected	-0.4756	eV/atom
E	-15.6	eV/f.u.
ρ	4.6	g/cm3
excess energy over the best structure of this formula in the dataset	0.373	eV per formula unit

Unit cell a=6.181 b=6.181 c=4.103 alpha=90.00 beta=90.00 gamma=90.00
Positions (direct):
Ca  0.000  0.000  0.000
Te  0.500  0.500  0.500
I  0.000  0.500  0.000
I  0.500  0.000  0.000
O  0.000  0.000  0.500

***

(7)
Below is CaTeIO2 after structural relaxation, with properties calculated at the GGA-PBE level.

Computed properties:
energy relative to the elements, uncorrected	-0.7319	eV/atom
E	-20.3	eV/f.u.
ρ	4.7	g/cm3
excess energy over the best structure of this formula in the dataset	0.000	eV per formula unit

Unit cell a=4.316 b=4.316 c=6.175 alpha=90.00 beta=90.00 gamma=90.00
Positions (direct):
Ca  0.000  0.000  0.000
Te  0.500  0.500  0.500
I  0.500  0.500  0.000
O  0.000  0.500  0.500
O  0.500  0.000  0.500

***

(8)
Below is CaTiIO6 after structural relaxation, with properties calculated at the GGA-PBE level.

Computed properties:
energy relative to the elements, uncorrected	-1.8316	eV/atom
E	-57.7	eV/f.u.
ρ	4.2	g/cm3

Unit cell a=5.279 b=5.279 c=10.148 alpha=90.00 beta=90.00 gamma=120.00
Positions (direct):
Ca  0.000  0.000  0.000
Ca  0.000  0.000  0.500
Ti  0.333  0.667  0.250
Ti  0.667  0.333  0.750
I  0.333  0.667  0.750
I  0.667  0.333  0.250
O  0.001  0.375  0.142
O  0.001  0.627  0.358
O  0.373  0.375  0.358
O  0.373  0.999  0.142
O  0.375  0.001  0.642
O  0.375  0.373  0.858
O  0.625  0.627  0.142
O  0.625  0.999  0.358
O  0.627  0.001  0.858
O  0.627  0.625  0.642
O  0.999  0.373  0.642
O  0.999  0.625  0.858